a.
# PBE SrHg2I2, relaxed
# D(E_F): 0.000 states/eV/atom
data_SrHg2I2
_chemical_formula_sum 'Sr2 Hg4 I4'
_cell_length_a 6.723
_cell_length_b 6.723
_cell_length_c 9.160
_cell_angle_alpha 90.00
_cell_angle_beta 90.00
_cell_angle_gamma 90.00
_symmetry_space_group_name_H-M 'I 4/m m m'
_symmetry_Int_Tables_number 139
_symmetry_space_group_name_Hall '-I 4 2'
loop_
_atom_site_label
_atom_site_fract_x
_atom_site_fract_y
_atom_site_fract_z
Sr1 0.000 0.000 0.000
Hg1 0.000 0.000 0.346
I1 0.000 0.500 0.250

b.
# PBE SrHg2I2, relaxed
# D(E_F): 0.210 states/eV/atom
data_SrHg2I2
_chemical_formula_sum 'Sr2 Hg4 I4'
_cell_length_a 4.200
_cell_length_b 4.200
_cell_length_c 22.180
_cell_angle_alpha 90.00
_cell_angle_beta 90.00
_cell_angle_gamma 90.00
_symmetry_space_group_name_H-M 'I 4/m m m'
_symmetry_Int_Tables_number 139
_symmetry_space_group_name_Hall '-I 4 2'
loop_
_atom_site_label
_atom_site_fract_x
_atom_site_fract_y
_atom_site_fract_z
Sr1 0.000 0.000 0.000
Hg1 0.000 0.500 0.250
I1 0.000 0.000 0.415

Most stable structure, least stable structure: b, a.

a.
# PBE SrHgI2, relaxed
# D(E_F): 0.000 states/eV/atom
data_SrHgI2
_chemical_formula_sum 'Sr1 Hg1 I2'
_cell_length_a 4.122
_cell_length_b 4.122
_cell_length_c 10.291
_cell_angle_alpha 90.00
_cell_angle_beta 90.00
_cell_angle_gamma 90.00
_symmetry_space_group_name_H-M 'P 4/m m m'
_symmetry_Int_Tables_number 123
_symmetry_space_group_name_Hall '-P 4 2'
loop_
_atom_site_label
_atom_site_fract_x
_atom_site_fract_y
_atom_site_fract_z
Sr1 0.000 0.000 0.000
Hg1 0.000 0.000 0.500
I1 0.500 0.500 0.186

b.
# PBE SrHgI2, relaxed
# D(E_F): 0.000 states/eV/atom
data_SrHgI2
_chemical_formula_sum 'Sr4 Hg4 I8'
_cell_length_a 8.351
_cell_length_b 8.351
_cell_length_c 8.351
_cell_angle_alpha 90.00
_cell_angle_beta 90.00
_cell_angle_gamma 90.00
_symmetry_space_group_name_H-M 'F m -3 m'
_symmetry_Int_Tables_number 225
_symmetry_space_group_name_Hall '-F 4 2 3'
loop_
_atom_site_label
_atom_site_fract_x
_atom_site_fract_y
_atom_site_fract_z
Sr1 0.000 0.000 0.000
Hg1 0.000 0.000 0.500
I1 0.250 0.250 0.250

Most stable structure, least stable structure: a, b.

a.
# PBE Sr2HgI2, relaxed
# D(E_F): 0.500 states/eV/atom
data_Sr2HgI2
_chemical_formula_sum 'Sr4 Hg2 I4'
_cell_length_a 6.328
_cell_length_b 6.328
_cell_length_c 10.792
_cell_angle_alpha 90.00
_cell_angle_beta 90.00
_cell_angle_gamma 90.00
_symmetry_space_group_name_H-M 'I 4/m m m'
_symmetry_Int_Tables_number 139
_symmetry_space_group_name_Hall '-I 4 2'
loop_
_atom_site_label
_atom_site_fract_x
_atom_site_fract_y
_atom_site_fract_z
Sr1 0.000 0.500 0.250
Hg1 0.000 0.000 0.000
I1 0.000 0.000 0.330

b.
# PBE Sr2HgI2, relaxed
# D(E_F): 0.303 states/eV/atom
data_Sr2HgI2
_chemical_formula_sum 'Sr4 Hg2 I4'
_cell_length_a 8.856
_cell_length_b 8.856
_cell_length_c 5.098
_cell_angle_alpha 90.00
_cell_angle_beta 90.00
_cell_angle_gamma 90.00
_symmetry_space_group_name_H-M 'P 4/m b m'
_symmetry_Int_Tables_number 127
_symmetry_space_group_name_Hall '-P 4 2ab'
loop_
_atom_site_label
_atom_site_fract_x
_atom_site_fract_y
_atom_site_fract_z
Sr1 0.168 0.332 0.000
Hg1 0.000 0.000 0.000
I1 0.152 0.652 0.500

c.
# PBE Sr2HgI2, relaxed
# D(E_F): 0.326 states/eV/atom
data_Sr2HgI2
_chemical_formula_sum 'Sr4 Hg2 I4'
_cell_length_a 5.535
_cell_length_b 5.535
_cell_length_c 15.458
_cell_angle_alpha 90.00
_cell_angle_beta 90.00
_cell_angle_gamma 90.00
_symmetry_space_group_name_H-M 'I 4/m m m'
_symmetry_Int_Tables_number 139
_symmetry_space_group_name_Hall '-I 4 2'
loop_
_atom_site_label
_atom_site_fract_x
_atom_site_fract_y
_atom_site_fract_z
Sr1 0.000 0.000 0.127
Hg1 0.000 0.000 0.500
I1 0.000 0.500 0.250

Most stable structure, least stable structure: b, a.

a.
# PBE SrHgI3, relaxed
# D(E_F): 1.661 states/eV/atom
data_SrHgI3
_chemical_formula_sum 'Sr1 Hg1 I3'
_cell_length_a 6.468
_cell_length_b 6.468
_cell_length_c 6.468
_cell_angle_alpha 90.00
_cell_angle_beta 90.00
_cell_angle_gamma 90.00
_symmetry_space_group_name_H-M 'P m -3 m'
_symmetry_Int_Tables_number 221
_symmetry_space_group_name_Hall '-P 4 2 3'
loop_
_atom_site_label
_atom_site_fract_x
_atom_site_fract_y
_atom_site_fract_z
Sr1 0.000 0.000 0.000
Hg1 0.500 0.500 0.500
I1 0.000 0.000 0.500

b.
# PBE SrHgI3, relaxed
# D(E_F): 0.336 states/eV/atom
data_SrHgI3
_chemical_formula_sum 'Sr1 Hg1 I3'
_cell_length_a 5.992
_cell_length_b 5.992
_cell_length_c 5.992
_cell_angle_alpha 90.00
_cell_angle_beta 90.00
_cell_angle_gamma 90.00
_symmetry_space_group_name_H-M 'P m -3 m'
_symmetry_Int_Tables_number 221
_symmetry_space_group_name_Hall '-P 4 2 3'
loop_
_atom_site_label
_atom_site_fract_x
_atom_site_fract_y
_atom_site_fract_z
Sr1 0.000 0.000 0.000
Hg1 0.500 0.500 0.500
I1 0.000 0.500 0.500

Most stable structure, least stable structure: a, b.

a.
# PBE Sr2HgI, relaxed
# D(E_F): 1.138 states/eV/atom
data_Sr2HgI
_chemical_formula_sum 'Sr8 Hg4 I4'
_cell_length_a 8.341
_cell_length_b 8.341
_cell_length_c 8.341
_cell_angle_alpha 90.00
_cell_angle_beta 90.00
_cell_angle_gamma 90.00
_symmetry_space_group_name_H-M 'F m -3 m'
_symmetry_Int_Tables_number 225
_symmetry_space_group_name_Hall '-F 4 2 3'
loop_
_atom_site_label
_atom_site_fract_x
_atom_site_fract_y
_atom_site_fract_z
Sr1 0.250 0.250 0.250
Hg1 0.000 0.000 0.000
I1 0.000 0.000 0.500

b.
# PBE Sr2HgI, relaxed
# D(E_F): 0.780 states/eV/atom
data_Sr2HgI
_chemical_formula_sum 'Sr6 Hg3 I3'
_cell_length_a 4.5161
_cell_length_b 4.5161
_cell_length_c 26.5416
_cell_angle_alpha 90.00
_cell_angle_beta 90.00
_cell_angle_gamma 120.00
_symmetry_space_group_name_H-M 'R -3 m'
_symmetry_Int_Tables_number 166
_symmetry_space_group_name_Hall '-R 3 2"'
loop_
_atom_site_label
_atom_site_fract_x
_atom_site_fract_y
_atom_site_fract_z
Sr1 0.0000 0.0000 0.2414
Hg1 0.0000 0.0000 0.5000
I1 0.0000 0.0000 0.0000

Most stable structure, least stable structure: b, a.

a.
# PBE Sr2HgI, relaxed
# D(E_F): 0.715 states/eV/atom
data_Sr2HgI
_chemical_formula_sum 'Sr2 Hg1 I1'
_cell_length_a 4.024
_cell_length_b 4.024
_cell_length_c 8.865
_cell_angle_alpha 90.00
_cell_angle_beta 90.00
_cell_angle_gamma 90.00
_symmetry_space_group_name_H-M 'P 4/m m m'
_symmetry_Int_Tables_number 123
_symmetry_space_group_name_Hall '-P 4 2'
loop_
_atom_site_label
_atom_site_fract_x
_atom_site_fract_y
_atom_site_fract_z
Sr1 0.000 0.000 0.220
Hg1 0.500 0.500 0.000
I1 0.500 0.500 0.500

b.
# PBE Sr2HgI, relaxed
# D(E_F): 0.780 states/eV/atom
data_Sr2HgI
_chemical_formula_sum 'Sr8 Hg4 I4'
_cell_length_a 8.754
_cell_length_b 8.754
_cell_length_c 8.811
_cell_angle_alpha 90.00
_cell_angle_beta 90.00
_cell_angle_gamma 90.00
_symmetry_space_group_name_H-M 'I -4 2 d'
_symmetry_Int_Tables_number 122
_symmetry_space_group_name_Hall 'I -4 2bw'
loop_
_atom_site_label
_atom_site_fract_x
_atom_site_fract_y
_atom_site_fract_z
Sr1 0.237 0.250 0.125
Hg1 0.000 0.000 0.000
I1 0.000 0.000 0.500

Most stable structure, least stable structure: a, b.

a.
A relaxed structure of SrHg2I6. Source: Alexandria, functional PBE.

Structure (CIF):
```
data_SrHg2I6
_chemical_formula_sum 'Sr2 Hg4 I12'
_cell_length_a 17.029
_cell_length_b 4.627
_cell_length_c 12.733
_cell_angle_alpha 90.00
_cell_angle_beta 113.38
_cell_angle_gamma 90.00
_symmetry_space_group_name_H-M 'C 1 2/m 1'
_symmetry_Int_Tables_number 12
loop_
_symmetry_equiv_pos_as_xyz
'x,y,z'
'-x,-y,-z'
'-x,y,-z'
'x,-y,z'
'x+1/2,y+1/2,z'
'-x+1/2,-y+1/2,-z'
'-x+1/2,y+1/2,-z'
'x+1/2,-y+1/2,z'
loop_
_atom_site_label
_atom_site_fract_x
_atom_site_fract_y
_atom_site_fract_z
Sr1 0.000 0.000 0.000
Hg1 0.198 0.000 0.716
I1 0.110 0.500 0.188
I2 0.146 0.000 0.896
I3 0.158 0.500 0.571
```

b.
A relaxed structure of SrHg2I6. Source: Alexandria, functional PBE.

Structure (CIF):
```
data_SrHg2I6
_chemical_formula_sum 'Sr4 Hg8 I24'
_cell_length_a 15.087
_cell_length_b 13.998
_cell_length_c 8.085
_cell_angle_alpha 90.00
_cell_angle_beta 100.70
_cell_angle_gamma 90.00
_symmetry_space_group_name_H-M 'C 1 2/c 1'
_symmetry_Int_Tables_number 15
loop_
_symmetry_equiv_pos_as_xyz
'x,y,z'
'-x,-y,-z'
'-x,y,-z+1/2'
'x,-y,z+1/2'
'x+1/2,y+1/2,z'
'-x+1/2,-y+1/2,-z'
'-x+1/2,y+1/2,-z+1/2'
'x+1/2,-y+1/2,z+1/2'
loop_
_atom_site_label
_atom_site_fract_x
_atom_site_fract_y
_atom_site_fract_z
Sr1 0.000 0.106 0.250
Hg1 0.181 0.420 0.312
I1 0.118 0.080 0.637
I2 0.127 0.262 0.102
I3 0.131 0.406 0.633
```

Most stable structure, least stable structure: b, a.

a.
# PBE TaHgI2, relaxed
# D(E_F): 0.572 states/eV/atom
data_TaHgI2
_chemical_formula_sum 'Ta4 Hg4 I8'
_cell_length_a 9.942
_cell_length_b 9.942
_cell_length_c 5.821
_cell_angle_alpha 90.00
_cell_angle_beta 90.00
_cell_angle_gamma 90.00
_symmetry_space_group_name_H-M 'I -4 2 d'
_symmetry_Int_Tables_number 122
_symmetry_space_group_name_Hall 'I -4 2bw'
loop_
_atom_site_label
_atom_site_fract_x
_atom_site_fract_y
_atom_site_fract_z
Ta1 0.000 0.000 0.000
Hg1 0.000 0.000 0.500
I1 0.111 0.250 0.125

b.
# PBE TaHgI2, relaxed
# D(E_F): 0.596 states/eV/atom
data_TaHgI2
_chemical_formula_sum 'Ta4 Hg4 I8'
_cell_length_a 7.339
_cell_length_b 7.339
_cell_length_c 7.339
_cell_angle_alpha 90.00
_cell_angle_beta 90.00
_cell_angle_gamma 90.00
_symmetry_space_group_name_H-M 'F m -3 m'
_symmetry_Int_Tables_number 225
_symmetry_space_group_name_Hall '-F 4 2 3'
loop_
_atom_site_label
_atom_site_fract_x
_atom_site_fract_y
_atom_site_fract_z
Ta1 0.000 0.000 0.000
Hg1 0.000 0.000 0.500
I1 0.250 0.250 0.250

Most stable structure, least stable structure: a, b.

a.
# PBE TaHgI3, relaxed
# D(E_F): 0.659 states/eV/atom
data_TaHgI3
_chemical_formula_sum 'Ta1 Hg1 I3'
_cell_length_a 5.594
_cell_length_b 5.594
_cell_length_c 5.594
_cell_angle_alpha 90.00
_cell_angle_beta 90.00
_cell_angle_gamma 90.00
_symmetry_space_group_name_H-M 'P m -3 m'
_symmetry_Int_Tables_number 221
_symmetry_space_group_name_Hall '-P 4 2 3'
loop_
_atom_site_label
_atom_site_fract_x
_atom_site_fract_y
_atom_site_fract_z
Ta1 0.000 0.000 0.000
Hg1 0.500 0.500 0.500
I1 0.000 0.000 0.500

b.
# PBE TaHgI3, relaxed
# D(E_F): 1.227 states/eV/atom
data_TaHgI3
_chemical_formula_sum 'Ta1 Hg1 I3'
_cell_length_a 5.850
_cell_length_b 5.850
_cell_length_c 5.850
_cell_angle_alpha 90.00
_cell_angle_beta 90.00
_cell_angle_gamma 90.00
_symmetry_space_group_name_H-M 'P m -3 m'
_symmetry_Int_Tables_number 221
_symmetry_space_group_name_Hall '-P 4 2 3'
loop_
_atom_site_label
_atom_site_fract_x
_atom_site_fract_y
_atom_site_fract_z
Ta1 0.000 0.000 0.000
Hg1 0.500 0.500 0.500
I1 0.000 0.500 0.500

Most stable structure, least stable structure: a, b.

a.
# PBE TbHgI3, relaxed
# D(E_F): 0.000 states/eV/atom
data_TbHgI3
_chemical_formula_sum 'Tb6 Hg6 I18'
_cell_length_a 7.7052
_cell_length_b 7.7052
_cell_length_c 31.6446
_cell_angle_alpha 90.00
_cell_angle_beta 90.00
_cell_angle_gamma 120.00
_symmetry_space_group_name_H-M 'R -3'
_symmetry_Int_Tables_number 148
_symmetry_space_group_name_Hall '-R 3'
loop_
_atom_site_label
_atom_site_fract_x
_atom_site_fract_y
_atom_site_fract_z
Tb1 0.0000 0.0000 0.1667
Hg1 0.0000 0.0000 0.3368
I1 0.9999 0.3568 0.4437

b.
# PBE TbHgI3, relaxed
# D(E_F): 0.000 states/eV/atom
data_TbHgI3
_chemical_formula_sum 'Tb8 Hg8 I24'
_cell_length_a 17.533
_cell_length_b 13.853
_cell_length_c 7.749
_cell_angle_alpha 90.00
_cell_angle_beta 90.13
_cell_angle_gamma 90.00
_symmetry_space_group_name_H-M 'C 1 2/c 1'
_symmetry_Int_Tables_number 15
loop_
_symmetry_equiv_pos_as_xyz
'x,y,z'
'-x,-y,-z'
'-x,y,-z+1/2'
'x,-y,z+1/2'
'x+1/2,y+1/2,z'
'-x+1/2,-y+1/2,-z'
'-x+1/2,y+1/2,-z+1/2'
'x+1/2,-y+1/2,z+1/2'
loop_
_atom_site_label
_atom_site_fract_x
_atom_site_fract_y
_atom_site_fract_z
Tb1 0.250 0.081 0.073
Hg1 0.000 0.223 0.750
Hg2 0.000 0.277 0.250
I1 0.134 0.034 0.359
I2 0.134 0.466 0.640
I3 0.250 0.217 0.760

c.
# PBE TbHgI3, relaxed
# D(E_F): 0.000 states/eV/atom
data_TbHgI3
_chemical_formula_sum 'Tb1 Hg1 I3'
_cell_length_a 6.065
_cell_length_b 6.065
_cell_length_c 6.065
_cell_angle_alpha 90.00
_cell_angle_beta 90.00
_cell_angle_gamma 90.00
_symmetry_space_group_name_H-M 'P m -3 m'
_symmetry_Int_Tables_number 221
_symmetry_space_group_name_Hall '-P 4 2 3'
loop_
_atom_site_label
_atom_site_fract_x
_atom_site_fract_y
_atom_site_fract_z
Tb1 0.000 0.000 0.000
Hg1 0.500 0.500 0.500
I1 0.000 0.000 0.500

Most stable structure, least stable structure: a, c.

a.
# PBE TcHg2I, relaxed
# D(E_F): 1.120 states/eV/atom
data_TcHg2I
_chemical_formula_sum 'Tc4 Hg8 I4'
_cell_length_a 5.115
_cell_length_b 5.115
_cell_length_c 19.483
_cell_angle_alpha 90.00
_cell_angle_beta 90.00
_cell_angle_gamma 90.00
_symmetry_space_group_name_H-M 'I -4 2 d'
_symmetry_Int_Tables_number 122
_symmetry_space_group_name_Hall 'I -4 2bw'
loop_
_atom_site_label
_atom_site_fract_x
_atom_site_fract_y
_atom_site_fract_z
Tc1 0.000 0.000 0.000
Hg1 0.135 0.250 0.125
I1 0.000 0.000 0.500

b.
# PBE TcHg2I, relaxed
# D(E_F): 0.585 states/eV/atom
data_TcHg2I
_chemical_formula_sum 'Tc4 Hg8 I4'
_cell_length_a 7.322
_cell_length_b 7.322
_cell_length_c 7.322
_cell_angle_alpha 90.00
_cell_angle_beta 90.00
_cell_angle_gamma 90.00
_symmetry_space_group_name_H-M 'F m -3 m'
_symmetry_Int_Tables_number 225
_symmetry_space_group_name_Hall '-F 4 2 3'
loop_
_atom_site_label
_atom_site_fract_x
_atom_site_fract_y
_atom_site_fract_z
Tc1 0.000 0.000 0.000
Hg1 0.250 0.250 0.250
I1 0.000 0.000 0.500

Most stable structure, least stable structure: a, b.

a.
# PBE HgTeI3, relaxed
# D(E_F): 0.395 states/eV/atom
data_HgTeI3
_chemical_formula_sum 'Hg1 Te1 I3'
_cell_length_a 6.047
_cell_length_b 6.047
_cell_length_c 6.047
_cell_angle_alpha 90.00
_cell_angle_beta 90.00
_cell_angle_gamma 90.00
_symmetry_space_group_name_H-M 'P m -3 m'
_symmetry_Int_Tables_number 221
_symmetry_space_group_name_Hall '-P 4 2 3'
loop_
_atom_site_label
_atom_site_fract_x
_atom_site_fract_y
_atom_site_fract_z
Hg1 0.000 0.000 0.000
Te1 0.500 0.500 0.500
I1 0.000 0.500 0.500

b.
A relaxed structure of HgTeI3. Source: Alexandria, functional PBE.

Structure (CIF):
```
data_HgTeI3
_chemical_formula_sum 'Hg2 Te2 I6'
_cell_length_a 4.427
_cell_length_b 9.920
_cell_length_c 12.872
_cell_angle_alpha 68.47
_cell_angle_beta 83.71
_cell_angle_gamma 87.75
_symmetry_space_group_name_H-M 'P -1'
_symmetry_Int_Tables_number 2
loop_
_symmetry_equiv_pos_as_xyz
'x,y,z'
'-x,-y,-z'
loop_
_atom_site_label
_atom_site_fract_x
_atom_site_fract_y
_atom_site_fract_z
Hg1 0.036 0.145 0.353
Te1 0.219 0.918 0.071
I1 0.035 0.832 0.431
I2 0.117 0.343 0.863
I3 0.430 0.724 0.790
```

Most stable structure, least stable structure: b, a.